{"formula": "MgAlFeO4", "functional": "GGA+U", "state": "relaxed", "cell": [[-2.923, 2.939, 4.170], [2.923, -2.939, 4.170], [2.923, 2.939, -4.170]], "species": ["Mg", "Mg", "Al", "Al", "Fe", "Fe", "O", "O", "O", "O", "O", "O", "O", "O"], "frac_coords": [[0.000, 0.000, 0.000], [0.500, 0.000, 0.500], [0.500, 0.000, 0.000], [0.500, 0.500, 0.500], [0.133, 0.383, 0.750], [0.867, 0.617, 0.250], [0.271, 0.263, 0.492], [0.271, 0.779, 0.008], [0.274, 0.249, 0.025], [0.276, 0.751, 0.525], [0.724, 0.249, 0.475], [0.726, 0.751, 0.975], [0.729, 0.221, 0.992], [0.729, 0.737, 0.508]], "volume_a3_per_atom": 10.2, "e_tot_ev_per_atom": -6.787, "space_group": "No. 74"}